1.
Entry from Alexandria: crystalline Zr2MnMo at its relaxed geometry (GGA-PBEsol).

Values from the calculation:
total moment: 0.26 μB/f.u.
symmetry: P4/mmm
formation energy: 49 meV per atom
crystal system: tetragonal
energy above the lowest structure with this stoichiometry: 0.0 meV/atom

Cell lengths 3.2100, 3.2100, 6.4835 Å; angles 90.00, 90.00, 90.00 degrees
Each line ends with the local moment (μB).
Fractional coordinates of all 4 atoms:
Zr 0.0000 0.0000 0.2381  -0.04
Mo 0.5000 0.5000 0.5000  0.01
Zr 0.0000 0.0000 0.7619  -0.04
Mn 0.5000 0.5000 0.0000  0.34

2.
Entry from Alexandria: crystalline BaAl4 at its relaxed geometry (GGA-PBEsol).

Values from the calculation:
total moment: 0.00 μB/f.u.
symmetry: Im-3m
formation energy: 1224 meV per atom
crystal system: cubic
energy above the lowest structure with this stoichiometry: 1455.4 meV/atom

Cell lengths 5.9949, 5.9949, 5.9949 Å; angles 109.47, 109.47, 109.47 degrees
Fractional coordinates of all 5 atoms:
Al 0.0000 0.0000 0.5000
Ba 0.0000 0.0000 0.0000
Al 0.0000 0.5000 0.0000
Al 0.5000 0.0000 0.0000
Al 0.5000 0.5000 0.5000